## Na2NiPdCl6 (PBE)

Data for a relaxed Na2NiPdCl6 crystal.

Summary:
The calculation puts the volume at 215.2 Å³/cell. The value obtained for the raw total energy is -3.44 eV per atom. The value obtained for the uncorrected formation energy is -0.97 eV per atom. For the total magnetization, the calculation gives 0.006 μB/cell.

abc: 6.810 6.810 6.810
angles: 58.41 58.41 58.41
Fractional positions:
Na1 0.000 0.000 0.000
Na2 0.499 0.499 0.499
Ni1 0.711 0.711 0.711
Pd1 0.211 0.211 0.211
Cl1 0.047 0.463 0.860
Cl2 0.374 0.947 0.560
Cl3 0.463 0.860 0.047
Cl4 0.560 0.374 0.947
Cl5 0.860 0.047 0.463
Cl6 0.947 0.560 0.374